K3Mg2AgBr9 after structural relaxation, computed with GGA-PBE.

Summary:
Formation energy from raw total energies in eV/atom: -1.27

abc: 7.5804 7.5804 9.4852
angles: 90.00 90.00 120.00
Space group P-3m1 (No. 164)
Unique sites:
1 K 0.0000 0.0000 0.0000 (multiplicity 1)
2 K 0.3333 0.6667 0.6539 (multiplicity 2)
3 Mg 0.3333 0.6667 0.1578 (multiplicity 2)
4 Ag 0.0000 0.0000 0.5000 (multiplicity 1)
5 Br 0.0000 0.5000 0.0000 (multiplicity 3)
6 Br 0.1721 0.3441 0.3341 (multiplicity 6)